The following is a DFT calculation (PBE) of a relaxed structure of LiBeNiP2.

Calculated values
DFT total energy in eV/cell: -24.6

a = 5.336 Å, b = 5.336 Å, c = 5.336 Å
α = 139.39°, β = 139.39°, γ = 58.77°
Fractional positions:
Li (0.000, 0.000, 0.000)
Be (0.250, 0.750, 0.500)
Ni (0.750, 0.250, 0.500)
P (0.383, 0.383, 0.000)
P (0.617, 0.617, 0.000)